{"formula": "MoPbO2", "functional": "PBE with a Hubbard U", "state": "optimized geometry", "cell": [[1.696, 0.979, 7.141], [-1.696, 0.979, 7.141], [0.000, -1.959, 7.141]], "species": ["Mo", "Pb", "O", "O"], "fractional_positions": [[0.000, 0.000, 0.000], [0.500, 0.500, 0.500], [0.088, 0.088, 0.088], [0.912, 0.912, 0.912]], "sg": "R-3m", "density_g_cm3": 7.82, "energy_ev_per_cell": -22.9, "volume_a3_per_atom": 17.80}